A crystal of AlPtBr2 relaxed with PBEsol. Source: Alexandria via LeMat-Bulk, functional SCAN.

* total DFT energy (no corrections): -238.15 eV for the cell shown
* energy relative to the lowest polymorph listed for this composition: 0 meV per atom
* theoretical density: 6.94 g/cm3
* uncorrected formation energy: -553.2 meV per atom

Cell lengths 6.870, 3.131, 8.855 Å; angles 90.00, 106.30, 90.00 degrees
Space group Cm (No. 8)
Symmetry-distinct sites (fractional):
Al: 0.000 0.000 0.000 [2 per cell]
Pt: 0.266 0.500 0.163 [2 per cell]
Br: 0.033 0.500 0.376 [2 per cell]
Br: 0.381 0.000 0.779 [2 per cell]